Here is a relaxed La2ReTcOs crystal from the Alexandria database. Energies are from GGA-PBE.

Values from the calculation:
**Energy of formation from the pure elements**: 1.25 eV/atom
**Energy**: -7.5253 eV/atom
**Space-group type**: P4/mmm
**Theoretical density**: 8.86 Mg/m³

Cell: 5.491 5.491 4.679 Å, 90.00 90.00 90.00°
Last column: magnetic moment on the atom in μB.
Element x y z (fractional)
Re: 0.500 0.500 0.500  2.42
Os: 0.000 0.000 0.000  0.03
Tc: 0.000 0.000 0.500  -0.47
La: 0.000 0.500 0.000  -0.03
La: 0.500 0.000 0.000  -0.03